No. 1
! CsMgOsPb2 (PBE, optimized geometry); values from VASP
&SYSTEM
  ibrav = 0, nat = 5, ntyp = 4
/
ATOMIC_SPECIES
Cs 132.91 Cs.upf
Mg 24.30 Mg.upf
Os 190.23 Os.upf
Pb 207.20 Pb.upf
CELL_PARAMETERS angstrom
5.489 0.000 0.000
0.000 5.489 0.000
0.000 0.000 6.078
ATOMIC_POSITIONS angstrom
Cs 0.000 0.000 0.000
Mg 0.000 0.000 3.039
Os 2.744 2.744 0.000
Pb 0.000 2.744 3.039
Pb 2.744 0.000 3.039
! energy relative to the elements = 1.5626 eV/atom
! space-group type = P4/mmm (123)


No. 2
! Ac2TlZnIr (PBE, optimized geometry); values from VASP
&SYSTEM
  ibrav = 0, nat = 10, ntyp = 4
/
ATOMIC_SPECIES
Ac 227.00 Ac.upf
Tl 204.38 Tl.upf
Zn 65.41 Zn.upf
Ir 192.22 Ir.upf
CELL_PARAMETERS angstrom
7.755 0.000 0.000
0.000 4.654 0.000
-2.751 0.000 7.968
ATOMIC_POSITIONS angstrom
Ac 0.144 1.163 2.690
Ac -0.461 1.163 7.580
Ac 5.464 3.490 0.388
Ac 4.859 3.490 5.278
Tl 0.786 3.490 5.207
Tl 4.218 1.163 2.762
Zn 2.564 3.490 2.485
Zn 2.440 1.163 5.483
Ir 0.706 3.490 0.718
Ir 4.298 1.163 7.250
! energy relative to the elements = -0.4465 eV/atom
! space-group type = P2_1/m (11)


No. 3
! SnBiPb5 (PBE, optimized geometry); values from VASP
&SYSTEM
  ibrav = 0, nat = 7, ntyp = 3
/
ATOMIC_SPECIES
Sn 118.71 Sn.upf
Bi 208.98 Bi.upf
Pb 207.20 Pb.upf
CELL_PARAMETERS angstrom
5.057 0.000 0.000
0.000 5.057 0.000
0.000 0.000 9.139
ATOMIC_POSITIONS angstrom
Sn 0.000 0.000 0.000
Bi 0.000 0.000 4.570
Pb 0.000 2.528 2.068
Pb 0.000 2.528 7.071
Pb 2.528 0.000 2.068
Pb 2.528 0.000 7.071
Pb 2.528 2.528 4.570
! energy relative to the elements = 0.0618 eV/atom
! space-group type = P4/mmm (123)
! energy above the lowest structure with this stoichiometry = 0.0 meV/atom


No. 4
! ScCd (PBE, optimized geometry); values from VASP
&SYSTEM
  ibrav = 0, nat = 6, ntyp = 2
/
ATOMIC_SPECIES
Sc 44.96 Sc.upf
Cd 112.41 Cd.upf
CELL_PARAMETERS angstrom
5.311 -2.370 0.000
5.311 2.370 0.000
-2.939 0.000 5.397
ATOMIC_POSITIONS angstrom
Sc 0.000 0.000 0.000
Sc 3.104 0.000 1.006
Sc 4.578 0.000 4.391
Cd -1.470 0.000 2.699
Cd 1.434 0.000 3.637
Cd 6.248 0.000 1.760
! energy relative to the elements = -0.1750 eV/atom
! space-group type = C2/m (12)


Number 1: final energy -2.656 eV per atom. Number 2: final energy -4.590 eV per atom. Number 3: final energy -3.713 eV per atom. Number 4: final energy -3.798 eV per atom.